The following is a DFT calculation (GGA-PBEsol) of a relaxed ScGa2Pd2 crystal.

a b c (Å): 3.951 3.951 6.042
angles (deg): 109.08 109.08 90.00
Element x y z (fractional)
Ga 0.612 0.612 0.223
Ga 0.388 0.388 0.777
Pd 0.250 0.750 0.500
Pd 0.750 0.250 0.500
Sc 0.000 0.000 0.000

Output
Its space-group type is I4/mmm, No. 139. Its density of states at the Fermi level is 2.92 states/eV/cell. As for the raw total energy: -5.727 eV/atom. The formation energy is -0.686 eV per atom.



The following is a DFT calculation (GGA-PBEsol) of a relaxed Ba2AlZn crystal.

a b c (Å): 3.979 5.692 6.497
angles (deg): 115.98 107.83 90.00
Element x y z (fractional)
Ba 0.971 0.971 0.942
Ba 0.786 0.286 0.572
Al 0.195 0.695 0.391
Zn 0.548 0.548 0.096

Output
Its space-group type is Imm2, No. 44. Its density of states at the Fermi level is 3.30 states/eV/cell. As for the raw total energy: -2.615 eV/atom. The formation energy is -0.122 eV per atom.